Entry 1:
## HoCu3Ge2 (PBE)

Data for an optimized crystal structure of HoCu3Ge2.

Density of states at the Fermi level ... 2.45 states/eV/f.u.
Formation energy ... -368 meV/atom

a b c (Å): 7.7708 7.7708 7.2230
angles (deg): 115.03 115.03 29.85
With the nearest neighbours (Å) after each atom.
Positions (direct):
1 Ho 0.1469 0.1469 0.0675  7 Ge 2.96-3.11, 7 Cu 3.22-3.30
2 Ho 0.8531 0.8531 0.9325  7 Ge 2.96-3.11, 7 Cu 3.22-3.30
3 Cu 0.0410 0.0410 0.3826  3 Ge 2.41-2.49, 1 Cu 2.50
4 Cu 0.3108 0.3108 0.5414  4 Ge 2.44-2.65, 3 Cu 2.51-2.60
5 Cu 0.4034 0.4034 0.3240  3 Ge 2.40-2.47, 1 Cu 2.51
6 Cu 0.5966 0.5966 0.6760  3 Ge 2.40-2.47, 1 Cu 2.51
7 Cu 0.6892 0.6892 0.4586  4 Ge 2.44-2.65, 3 Cu 2.51-2.60
8 Cu 0.9590 0.9590 0.6174  3 Ge 2.41-2.49, 1 Cu 2.50
9 Ge 0.1984 0.1984 0.7062  6 Cu 2.45-2.65
10 Ge 0.4788 0.4788 0.8171  4 Cu 2.40-2.44, 1 Ge 2.43
11 Ge 0.5212 0.5212 0.1829  4 Cu 2.40-2.44, 1 Ge 2.43
12 Ge 0.8016 0.8016 0.2938  6 Cu 2.45-2.65


Entry 2:
## Tb7Pr12Nd2 (PBE)

Data for an optimized crystal structure of Tb7Pr12Nd2.

Density of states at the Fermi level ... 34.28 states/eV/f.u.
Formation energy ... 42 meV/atom

a b c (Å): 15.2867 15.2867 3.6153
angles (deg): 90.00 90.00 120.00
With the nearest neighbours (Å) after each atom.
Positions (direct):
1 Tb 0.0000 0.0000 0.0000  9 Pr 3.44-3.70, 2 Tb 3.62
2 Tb 0.1452 0.7121 0.5000  7 Pr 3.39-3.66, 2 Tb 3.62, 2 Nd 3.74
3 Tb 0.2879 0.4332 0.5000  7 Pr 3.39-3.66, 2 Tb 3.62, 2 Nd 3.74
4 Tb 0.4310 0.1438 0.0000  7 Pr 3.38-3.69, 2 Tb 3.62, 2 Nd 3.77
5 Tb 0.5668 0.8548 0.5000  7 Pr 3.39-3.66, 2 Tb 3.62, 2 Nd 3.74
6 Tb 0.7127 0.5690 0.0000  7 Pr 3.38-3.69, 2 Tb 3.62, 2 Nd 3.77
7 Tb 0.8562 0.2873 0.0000  7 Pr 3.38-3.69, 2 Tb 3.62, 2 Nd 3.77
8 Pr 0.0700 0.2520 0.0000  4 Tb 3.44-3.58, 8 Pr 3.62-3.82
9 Pr 0.0801 0.4647 0.5000  4 Tb 3.39-3.61, 6 Pr 3.62-3.69
10 Pr 0.1819 0.9300 0.0000  4 Tb 3.44-3.58, 8 Pr 3.62-3.82
11 Pr 0.2361 0.1719 0.5000  8 Pr 3.62-3.82, 5 Tb 3.66-3.70
12 Pr 0.3846 0.9199 0.5000  4 Tb 3.39-3.61, 6 Pr 3.62-3.69
13 Pr 0.4610 0.3782 0.0000  4 Tb 3.38-3.63, 6 Pr 3.62-3.77
14 Pr 0.5353 0.6154 0.5000  4 Tb 3.39-3.61, 6 Pr 3.62-3.69
15 Pr 0.6218 0.0828 0.0000  4 Tb 3.38-3.63, 6 Pr 3.62-3.77
16 Pr 0.7480 0.8181 0.0000  4 Tb 3.44-3.58, 8 Pr 3.62-3.82
17 Pr 0.8281 0.0642 0.5000  8 Pr 3.62-3.82, 5 Tb 3.66-3.70
18 Pr 0.9172 0.5390 0.0000  4 Tb 3.38-3.63, 6 Pr 3.62-3.77
19 Pr 0.9358 0.7639 0.5000  8 Pr 3.62-3.82, 5 Tb 3.66-3.70
20 Nd 0.3333 0.6667 0.0000  2 Nd 3.62, 6 Tb 3.74, 6 Pr 3.98
21 Nd 0.6667 0.3333 0.5000  2 Nd 3.62, 6 Tb 3.77, 6 Pr 3.97


Entry 3:
## Sr2Ca2Mg3 (PBE)

Data for an optimized crystal structure of Sr2Ca2Mg3.

Density of states at the Fermi level ... 5.25 states/eV/f.u.
Formation energy ... -11 meV/atom

a b c (Å): 16.0348 16.0348 3.9162
angles (deg): 90.00 90.00 165.28
With the nearest neighbours (Å) after each atom.
Positions (direct):
1 Sr 0.0690 0.9310 0.0000  8 Mg 3.59-3.60, 2 Sr 3.92
2 Sr 0.9310 0.0690 0.0000  8 Mg 3.59-3.60, 2 Sr 3.92
3 Ca 0.1992 0.8008 0.0000  4 Mg 3.43, 2 Ca 3.83
4 Ca 0.8008 0.1992 0.0000  4 Mg 3.43, 2 Ca 3.83
5 Mg 0.3615 0.6385 0.5000  4 Ca 3.43, 4 Sr 3.60
6 Mg 0.5000 0.5000 0.5000  8 Sr 3.59, 2 Mg 3.92
7 Mg 0.6385 0.3615 0.5000  4 Ca 3.43, 4 Sr 3.60


Entry 4:
## PrAl6Ni4 (PBE)

Data for an optimized crystal structure of PrAl6Ni4.

Density of states at the Fermi level ... 6.04 states/eV/f.u.
Formation energy ... -586 meV/atom

a b c (Å): 6.9668 6.9668 3.9710
angles (deg): 90.00 90.00 120.00
With the nearest neighbours (Å) after each atom.
Positions (direct):
1 Pr 0.0000 0.0000 0.0000  12 Al 3.14-3.51, 6 Ni 3.22
2 Al 0.2019 0.4038 0.5000  4 Ni 2.49-2.54, 2 Al 2.75
3 Al 0.2019 0.7981 0.5000  4 Ni 2.49-2.54, 2 Al 2.75
4 Al 0.5332 0.0664 0.0000  5 Ni 2.41-2.52
5 Al 0.5332 0.4668 0.0000  5 Ni 2.41-2.52
6 Al 0.5962 0.7981 0.5000  4 Ni 2.49-2.54, 2 Al 2.75
7 Al 0.9336 0.4668 0.0000  5 Ni 2.41-2.52
8 Ni 0.3333 0.6667 0.0000  9 Al 2.41-2.54
9 Ni 0.4200 0.2100 0.5000  6 Al 2.49-2.52, 2 Ni 2.58
10 Ni 0.7900 0.2100 0.5000  6 Al 2.49-2.52, 2 Ni 2.58
11 Ni 0.7900 0.5800 0.5000  6 Al 2.49-2.52, 2 Ni 2.58


Copy entry 1 word for word.
## HoCu3Ge2 (PBE)

Data for an optimized crystal structure of HoCu3Ge2.

Density of states at the Fermi level ... 2.45 states/eV/f.u.
Formation energy ... -368 meV/atom

a b c (Å): 7.7708 7.7708 7.2230
angles (deg): 115.03 115.03 29.85
With the nearest neighbours (Å) after each atom.
Positions (direct):
1 Ho 0.1469 0.1469 0.0675  7 Ge 2.96-3.11, 7 Cu 3.22-3.30
2 Ho 0.8531 0.8531 0.9325  7 Ge 2.96-3.11, 7 Cu 3.22-3.30
3 Cu 0.0410 0.0410 0.3826  3 Ge 2.41-2.49, 1 Cu 2.50
4 Cu 0.3108 0.3108 0.5414  4 Ge 2.44-2.65, 3 Cu 2.51-2.60
5 Cu 0.4034 0.4034 0.3240  3 Ge 2.40-2.47, 1 Cu 2.51
6 Cu 0.5966 0.5966 0.6760  3 Ge 2.40-2.47, 1 Cu 2.51
7 Cu 0.6892 0.6892 0.4586  4 Ge 2.44-2.65, 3 Cu 2.51-2.60
8 Cu 0.9590 0.9590 0.6174  3 Ge 2.41-2.49, 1 Cu 2.50
9 Ge 0.1984 0.1984 0.7062  6 Cu 2.45-2.65
10 Ge 0.4788 0.4788 0.8171  4 Cu 2.40-2.44, 1 Ge 2.43
11 Ge 0.5212 0.5212 0.1829  4 Cu 2.40-2.44, 1 Ge 2.43
12 Ge 0.8016 0.8016 0.2938  6 Cu 2.45-2.65


What is the density of states at the Fermi level in the fourth record?
6.04 states/eV/f.u.


Copy entry 3 word for word.
## Sr2Ca2Mg3 (PBE)

Data for an optimized crystal structure of Sr2Ca2Mg3.

Density of states at the Fermi level ... 5.25 states/eV/f.u.
Formation energy ... -11 meV/atom

a b c (Å): 16.0348 16.0348 3.9162
angles (deg): 90.00 90.00 165.28
With the nearest neighbours (Å) after each atom.
Positions (direct):
1 Sr 0.0690 0.9310 0.0000  8 Mg 3.59-3.60, 2 Sr 3.92
2 Sr 0.9310 0.0690 0.0000  8 Mg 3.59-3.60, 2 Sr 3.92
3 Ca 0.1992 0.8008 0.0000  4 Mg 3.43, 2 Ca 3.83
4 Ca 0.8008 0.1992 0.0000  4 Mg 3.43, 2 Ca 3.83
5 Mg 0.3615 0.6385 0.5000  4 Ca 3.43, 4 Sr 3.60
6 Mg 0.5000 0.5000 0.5000  8 Sr 3.59, 2 Mg 3.92
7 Mg 0.6385 0.3615 0.5000  4 Ca 3.43, 4 Sr 3.60


What is the formula in the second record?
Tb7Pr12Nd2